Material: MnRh2Br
Method: DFT, PBE
State: optimized geometry

Cell: 4.4721 4.4721 4.4721 Å, 60.00 60.00 60.00°
Positions (direct):
Mn  0.0000  0.0000  0.0000
Br  0.5000  0.5000  0.5000
Rh  0.2500  0.2500  0.2500
Rh  0.7500  0.7500  0.7500

Properties
For the formation energy from raw total energies, the calculation gives 2.099 eV per formula unit. Its density of states at the Fermi level is 6.416 states/eV/f.u. Its symmetry is No. 225. As for the energy above the most stable polymorph in this dataset: 0.2988 eV per atom.